Computed, not measured: an optimized crystal structure of K3YSb2O9 at the PBE level of DFT.

Results
Uncorrected energy: -88.36 eV per formula unit
Raw formation energy: -25.74 eV per formula unit
Density of states at the Fermi level: 9.53 states/eV/cell

Lattice parameters (Å, degrees): 5.8920 5.8920 7.2846 90.00 90.00 120.00
Last column: nearest neighbours and their distance in Å.
Fractional positions:
K  0.6667  0.3333  0.3348  12 O 2.95-3.02
K  0.3333  0.6667  0.6652  12 O 2.95-3.02
K  0.0000  0.0000  0.0000  12 O 2.91-2.95
O  0.1754  0.8246  0.3146  1 Sb 1.97
O  0.0000  0.5000  0.0000  2 Sb 2.06
O  0.8246  0.1754  0.6854  1 Sb 1.97
O  0.5000  0.0000  0.0000  2 Sb 2.06
O  0.1754  0.3508  0.3146  1 Sb 1.97
O  0.8246  0.6492  0.6854  1 Sb 1.97
O  0.5000  0.5000  0.0000  2 Sb 2.06
O  0.3508  0.1754  0.6854  1 Sb 1.97
O  0.6492  0.8246  0.3146  1 Sb 1.97
Sb  0.6667  0.3333  0.8409  6 O 1.97-2.06
Sb  0.3333  0.6667  0.1591  6 O 1.97-2.06
Y  0.0000  0.0000  0.5000  6 O 2.24